3
Lattice="3.841 0.000 0.000 1.920 3.326 0.000 1.920 1.109 3.136" Properties=species:S:1:pos:R:3 comment="BePRu | the Alexandria database | PBE-GGA | relaxed" dos_at_fermi_per_ev_atom=0.5806 formation_enthalpy_0k_kcal_per_mol_atoms=-2.79 space_group="F-43m (216)" crystal_system=cubic e_above_lowest_polymorph_mev_per_atom=265 pbc="T T T"
Ru 5.761 3.326 2.352
Be 0.000 0.000 0.000
P 3.841 2.217 1.568

---

4
Lattice="3.009 0.000 0.000 0.000 3.009 0.000 0.000 0.000 4.667" Properties=species:S:1:pos:R:3 comment="Be2PRu | the Alexandria database | PBE-GGA | relaxed" dos_at_fermi_per_ev_atom=0.3643 formation_enthalpy_0k_kcal_per_mol_atoms=-7.07 space_group="P4/mmm (123)" crystal_system=tetragonal pbc="T T T"
Ru 1.504 1.505 3.500
P 1.504 1.505 1.167
Be 0.000 0.000 2.330
Be 0.000 0.000 0.003

---

5
Lattice="-2.919 -1.449 -2.208 1.512 -4.356 0.859 -2.316 -0.177 3.178" Properties=species:S:1:pos:R:3 comment="Be2PRuS | the Alexandria database | PBE-GGA | relaxed" dos_at_fermi_per_ev_atom=0.7001 e_form_raw_ev_per_atom=0.511 space_group="P4/mmm (123)" crystal_system=tetragonal pbc="T T T"
S -1.862 -2.991 0.915
Be -1.460 -0.724 -1.104
Be -1.158 -0.089 1.589
P 0.000 0.000 0.000
Ru 0.756 -2.178 0.430

---

5
Lattice="-3.566 -1.290 -1.912 0.437 -3.834 1.772 -2.149 1.226 3.182" Properties=species:S:1:pos:R:3 comment="BePRuS2 | the Alexandria database | PBE-GGA | relaxed" dos_at_fermi_per_ev_atom=0.9874 e_form_raw_ev_per_atom=0.756 space_group="P4/mmm (123)" crystal_system=tetragonal e_above_lowest_polymorph_mev_per_atom=0 pbc="T T T"
P -1.075 0.613 1.591
Be 0.000 0.000 0.000
S -1.783 -0.645 -0.956
Ru -2.639 -1.949 1.521
S 0.218 -1.917 0.886

---

5
Lattice="-2.481 2.069 3.466 -2.451 -4.004 0.636 2.967 -1.350 2.930" Properties=species:S:1:pos:R:3 comment="BePRuS2 | the Alexandria database | PBE-GGA | relaxed" dos_at_fermi_per_ev_atom=0.9924 e_form_raw_ev_per_atom=0.901 space_group="P4/mmm (123)" crystal_system=tetragonal e_above_lowest_polymorph_mev_per_atom=145 pbc="T T T"
S -1.225 -2.002 0.318
P 1.484 -0.675 1.465
S -1.240 1.035 1.733
Ru 0.000 0.000 0.000
Be -0.982 -1.643 3.516

---

5
Lattice="4.259 0.000 0.000 0.000 5.028 0.000 0.000 0.000 4.259" Properties=species:S:1:pos:R:3 comment="Be2TePRu | the Alexandria database | PBE-GGA | relaxed" dos_at_fermi_per_ev_atom=0.6731 e_form_raw_ev_per_atom=0.832 space_group="P4/mmm (123)" crystal_system=tetragonal pbc="T T T"
Be 0.000 0.000 2.129
Ru 0.000 0.000 0.000
Te 0.000 2.514 0.000
P 2.129 2.514 2.129
Be 2.129 0.000 0.000

---

4
Lattice="0.000 3.025 3.025 3.025 0.000 3.025 3.025 3.025 0.000" Properties=species:S:1:pos:R:3 comment="BePS2 | the Alexandria database | PBE-GGA | relaxed" dos_at_fermi_per_ev_atom=0.4764 e_form_raw_ev_per_atom=0.652 space_group="Fm-3m (225)" crystal_system=cubic e_above_lowest_polymorph_mev_per_atom=660 pbc="T T T"
S 4.537 4.537 4.537
Be 0.000 0.000 0.000
P 3.025 3.025 3.025
S 1.512 1.512 1.512

---

4
Lattice="1.910 0.000 6.754 -0.955 1.654 6.754 -0.955 -1.654 6.754" Properties=species:S:1:pos:R:3 comment="BePS2 | the Alexandria database | PBE-GGA | relaxed" dos_at_fermi_per_ev_atom=0.2926 e_form_raw_ev_per_atom=0.042 space_group="R-3m (166)" crystal_system=trigonal e_above_lowest_polymorph_mev_per_atom=50 pbc="T T T"
S 0.000 0.000 2.199
S 0.000 0.000 18.064
P 0.000 0.000 0.000
Be 0.000 0.000 10.131

---

4
Lattice="0.000 3.003 3.003 3.003 0.000 3.003 3.003 3.003 0.000" Properties=species:S:1:pos:R:3 comment="BeP2S | the Alexandria database | PBE-GGA | relaxed" dos_at_fermi_per_ev_atom=0.4635 e_form_raw_ev_per_atom=0.863 space_group="Fm-3m (225)" crystal_system=cubic e_above_lowest_polymorph_mev_per_atom=565 pbc="T T T"
P 4.505 4.505 4.505
P 1.502 1.502 1.502
Be 0.000 0.000 0.000
S 3.003 3.003 3.003

---

8
Lattice="5.117 0.000 0.000 0.000 5.117 0.000 2.559 2.559 5.399" Properties=species:S:1:pos:R:3 comment="BeP2S | the Alexandria database | PBE-GGA | relaxed" dos_at_fermi_per_ev_atom=0.3759 e_form_raw_ev_per_atom=0.297 space_group="I-42d (122)" crystal_system=tetragonal e_above_lowest_polymorph_mev_per_atom=0 pbc="T T T"
P 6.397 6.140 4.049
Be 2.559 5.117 2.699
P 3.838 4.095 4.049
P 1.536 3.838 1.350
S 5.117 2.559 2.699
Be 2.559 2.559 0.000
S 0.000 0.000 0.000
P 3.581 1.279 1.350

---

8
Lattice="-4.417 -1.858 3.234 1.590 -5.472 -0.973 0.951 -3.563 4.420" Properties=species:S:1:pos:R:3 comment="BePS2 | the Alexandria database | PBE-GGA | relaxed" dos_at_fermi_per_ev_atom=0.4535 e_form_raw_ev_per_atom=-0.008 space_group="I-42d (122)" crystal_system=tetragonal e_above_lowest_polymorph_mev_per_atom=0 pbc="T T T"
S -2.085 -2.636 2.830
P 0.000 0.000 0.000
S -0.261 -5.717 4.110
Be -1.414 -3.665 1.131
S 0.441 -4.644 1.076
P -2.440 -4.543 4.392
Be 0.564 -6.350 2.289
S -1.846 -8.790 5.346

---

5
Lattice="-2.197 -3.651 0.065 1.940 -1.231 -3.589 3.094 -1.821 2.297" Properties=species:S:1:pos:R:3 comment="BePS3 | the Alexandria database | PBE-GGA | relaxed" dos_at_fermi_per_ev_atom=0.6989 e_form_raw_ev_per_atom=0.612 space_group="Pm-3m (221)" crystal_system=cubic e_above_lowest_polymorph_mev_per_atom=0 pbc="T T T"
S 1.547 -0.911 1.149
S -1.099 -1.826 0.032
Be 0.000 0.000 0.000
P 1.418 -3.352 -0.614
S 0.970 -0.616 -1.795